The following is a DFT calculation (PBE with a Hubbard U) of a geometry-optimized Mg3FeO structure.

Cell: 4.2931 4.2931 4.2931 Å, 90.00 90.00 90.00°
Fractional positions:
1 Mg 0.0000 0.0000 0.5000
2 Mg 0.0000 0.5000 0.0000
3 Mg 0.5000 0.0000 0.0000
4 Fe 0.5000 0.5000 0.5000
5 O 0.0000 0.0000 0.0000

Calculated volume: 79.1 Å³ per cell
DFT total energy: -17.6 eV per formula unit